[1]
A relaxed structure of Ca2NiHg, computed with PBE-GGA.

a = 8.293 Å, b = 8.293 Å, c = 8.293 Å
α = 27.70°, β = 27.70°, γ = 27.70°
Fractional coordinates of all 4 atoms:
Ni 0.750 0.750 0.750
Ca 0.015 0.015 0.015
Ca 0.485 0.485 0.485
Hg 0.250 0.250 0.250

Summary:
D(E_F): 3.2 states/eV per cell
V: 109 Å³/cell
calculated formation energy: -108 meV/atom
SG: R-3m (166)
magnetic moment: 0.000 μB/cell
mass density: 5181 kg/m³

[2]
A relaxed structure of MoPdW, computed with PBE-GGA.

a = 2.634 Å, b = 4.564 Å, c = 4.564 Å
α = 120.00°, β = 90.00°, γ = 90.00°
Fractional coordinates of all 3 atoms:
Mo 0.665 0.667 0.333
Pd 0.162 0.000 0.000
W 0.173 0.333 0.667

Summary:
D(E_F): 2.1 states/eV per cell
V: 48 Å³/cell
calculated formation energy: 168 meV/atom
SG: P3m1 (156)
magnetic moment: 0.000 μB/cell
ΔE to the lowest computed polymorph: 0.00 eV per formula unit
mass density: 13496 kg/m³

[3]
A relaxed structure of TiMo3H, computed with PBE-GGA.

a = 4.562 Å, b = 4.562 Å, c = 4.562 Å
α = 90.00°, β = 90.00°, γ = 90.00°
Fractional coordinates of all 5 atoms:
H 0.500 0.500 0.500
Mo 0.000 0.500 0.000
Mo 0.000 0.000 0.500
Mo 0.500 0.000 0.000
Ti 0.000 0.000 0.000

Summary:
D(E_F): 4.3 states/eV per cell
V: 95 Å³/cell
SG: Pm-3m (221)
magnetic moment: 0.000 μB/cell
ΔE to the lowest computed polymorph: 10.33 eV per formula unit
mass density: 5890 kg/m³

> magnetic moment of number 2 (MoPdW)?

0.000 μB/cell